1.
K2ReTeSe GGA-PBEsol optimized geometry; magnetic moment = 2.35 μB/f.u.; ΔE_f (raw) = 0.50 eV/atom; space-group type = P4/mmm, No. 123; mass density = 4.0 g/cm3
1.0
-0.419 -3.531 2.809
5.756 -2.309 -2.043
3.023 3.379 4.699
K Te Se Re
2 1 1 1
direct
0.000 0.000 0.500
0.000 0.500 0.000
0.500 0.500 0.500
0.500 0.000 0.000
0.000 0.000 0.000

2.
K2ReSi GGA-PBEsol optimized geometry; magnetic moment = 0.00 μB/f.u.; ΔE_f (raw) = 1.10 eV/atom; space-group type = Cmmm, No. 65; mass density = 6.0 g/cm3
1.0
2.736 0.000 0.000
0.000 5.265 0.000
0.000 -2.633 5.644
K Re Si
2 1 1
direct
0.000 0.500 0.500
0.000 0.000 0.500
0.500 0.000 0.000
0.500 0.500 0.000

3.
K2SrRe GGA-PBEsol optimized geometry; magnetic moment = 0.00 μB/f.u.; space-group type = C2/m, No. 12; E_form = 1.422 eV/atom; relative energy among the computed polymorphs = 0.57 eV per formula unit; mass density = 5.1 g/cm3
1.0
0.011 -2.915 0.731
3.759 1.246 4.413
-6.897 1.816 1.421
K Sr Re
2 1 1
direct
0.500 0.500 0.500
0.000 0.000 0.500
0.000 0.500 0.000
0.500 0.000 0.000

4.
K2SrRe GGA-PBEsol optimized geometry; magnetic moment = 0.02 μB/f.u.; space-group type = P4/mmm, No. 123; E_form = 1.468 eV/atom; relative energy among the computed polymorphs = 0.76 eV per formula unit; mass density = 4.9 g/cm3
1.0
3.007 0.000 0.000
0.000 3.007 0.000
0.000 0.000 13.234
Re K Sr
1 2 1
direct
0.500 0.500 0.000
0.000 0.000 0.202
0.000 0.000 0.798
0.500 0.500 0.500

5.
KSrRe2 GGA-PBEsol optimized geometry; magnetic moment = 5.21 μB/f.u.; space-group type = Fm-3m, No. 225; E_form = 2.492 eV/atom; relative energy among the computed polymorphs = 7.11 eV per formula unit; mass density = 8.7 g/cm3
1.0
-0.161 -1.938 -4.747
2.162 -4.546 -0.989
-2.947 -4.077 -1.008
Re Sr K
2 1 1
direct
0.750 0.750 0.750
0.250 0.250 0.250
0.500 0.500 0.500
0.000 0.000 0.000

6.
K2SrRe GGA-PBEsol optimized geometry; magnetic moment = 2.80 μB/f.u.; space-group type = Fm-3m, No. 225; E_form = 1.609 eV/atom; relative energy among the computed polymorphs = 1.32 eV per formula unit; mass density = 4.3 g/cm3
1.0
-2.618 -3.457 -3.833
0.460 -5.748 0.501
-4.590 -3.142 1.599
Sr Re K
1 1 2
direct
0.500 0.500 0.500
0.000 0.000 0.000
0.250 0.250 0.250
0.750 0.750 0.750

7.
KSrRe2 GGA-PBEsol optimized geometry; magnetic moment = 0.00 μB/f.u.; space-group type = Imm2, No. 44; E_form = 1.063 eV/atom; relative energy among the computed polymorphs = 1.39 eV per formula unit; mass density = 7.7 g/cm3
1.0
3.670 0.000 0.000
0.000 5.598 0.000
-1.835 -2.799 5.267
Sr Re K
1 2 1
direct
0.486 0.486 0.972
0.052 0.052 0.105
0.687 0.187 0.375
0.274 0.774 0.548

8.
KSrRe GGA-PBEsol optimized geometry; magnetic moment = 2.56 μB/f.u.; space-group type = F-43m, No. 216; E_form = 2.219 eV/atom; mass density = 5.5 g/cm3
1.0
5.119 0.000 0.000
2.560 4.433 0.000
2.560 1.478 4.180
Sr Re K
1 1 1
direct
0.500 0.500 0.500
0.000 0.000 0.000
0.250 0.250 0.250

9.
K2SrRe GGA-PBEsol optimized geometry; magnetic moment = 0.47 μB/f.u.; space-group type = Cm, No. 8; E_form = 1.279 eV/atom; relative energy among the computed polymorphs = 0.00 eV per formula unit; mass density = 4.2 g/cm3
1.0
-0.861 -2.459 -1.410
1.095 -1.460 4.991
-8.829 1.897 2.087
Re K Sr
1 2 1
direct
0.498 0.996 0.436
0.000 0.001 0.057
0.237 0.475 0.686
0.764 0.528 0.322

10.
KSrRe2 GGA-PBEsol optimized geometry; magnetic moment = 0.00 μB/f.u.; space-group type = R3m, No. 160; E_form = 0.715 eV/atom; relative energy among the computed polymorphs = 0.00 eV per formula unit; mass density = 6.1 g/cm3
1.0
-1.732 -3.718 0.641
1.836 -2.738 2.523
-4.616 1.230 8.107
Sr Re K
1 2 1
direct
0.458 0.458 0.627
0.715 0.715 0.856
0.037 0.037 0.888
0.280 0.280 0.159

11.
KTaRe2 GGA-PBEsol optimized geometry; magnetic moment = 0.00 μB/f.u.; space-group type = Cmmm, No. 65; E_form = 0.626 eV/atom; relative energy among the computed polymorphs = 0.00 eV per formula unit; mass density = 13.6 g/cm3
1.0
2.751 0.009 0.000
-0.961 2.578 0.000
0.000 0.000 10.211
Ta Re K
1 2 1
direct
0.500 0.500 0.500
0.000 0.000 0.289
0.000 0.000 0.711
0.500 0.500 0.000

12.
KTaRe3 GGA-PBEsol optimized geometry; magnetic moment = 0.00 μB/f.u.; space-group type = Pm-3m, No. 221; E_form = 3.376 eV/atom; mass density = 15.2 g/cm3
1.0
-0.420 3.866 -2.049
1.558 -1.791 -3.700
-4.089 -1.080 -1.199
Re K Ta
3 1 1
direct
0.500 0.000 0.000
0.000 0.500 0.000
0.000 0.000 0.500
0.000 0.000 0.000
0.500 0.500 0.500